## A
5
Lattice="5.186 0.000 0.000 0.000 5.186 0.000 0.000 0.000 5.037" Properties=species:S:1:pos:R:3 comment="FeSb2TeI PBE optimized geometry" vol_a3_per_atom=27.09 m_tot_mub_per_cell=2.25 sg="P4/mmm (123)" dos_ef_per_ev_cell=4.602 pbc="T T T"
Fe 0.000 0.000 0.000
Sb 0.000 2.593 0.000
Sb 2.593 0.000 0.000
Te 2.593 2.593 2.518
I 0.000 0.000 2.518

---

## B
5
Lattice="5.055 0.000 0.000 0.000 5.055 0.000 0.000 0.000 5.139" Properties=species:S:1:pos:R:3 comment="FeSb2TeI PBE optimized geometry" vol_a3_per_atom=26.26 m_tot_mub_per_cell=0.00 sg="P4/mmm (123)" dos_ef_per_ev_cell=8.220 pbc="T T T"
Fe 0.000 0.000 0.000
Sb 0.000 2.527 0.000
Sb 2.527 0.000 0.000
Te 0.000 0.000 2.570
I 2.527 2.527 2.570

---

The data favor B; the next most stable structure lies 1.0 kJ/mol of atoms above it.

---

## A
5
Lattice="5.407 0.000 0.000 0.000 5.407 0.000 0.000 0.000 5.562" Properties=species:S:1:pos:R:3 comment="TiFeSbI2 PBE optimized geometry" vol_a3_per_atom=32.52 m_tot_mub_per_cell=4.40 sg="P4/mmm (123)" dos_ef_per_ev_cell=10.871 pbc="T T T"
Ti 0.000 0.000 0.000
Fe 2.704 2.704 2.781
Sb 0.000 0.000 2.781
I 0.000 2.704 0.000
I 2.704 0.000 0.000

---

## B
5
Lattice="5.414 0.000 0.000 0.000 5.414 0.000 0.000 0.000 4.934" Properties=species:S:1:pos:R:3 comment="TiFeSbI2 PBE optimized geometry" vol_a3_per_atom=28.92 m_tot_mub_per_cell=4.65 sg="P4/mmm (123)" dos_ef_per_ev_cell=10.366 pbc="T T T"
Ti 0.000 0.000 0.000
Fe 2.707 2.707 2.467
Sb 2.707 2.707 0.000
I 0.000 2.707 2.467
I 2.707 0.000 2.467

---

The data favor A; the next most stable structure lies 5.5 kJ/mol of atoms above it.